Compound: BeFe2Re
Source: Alexandria
Functional: PBEsol
Structure: optimized geometry

Results
Space-group type   P4/mmm
DFT total energy   -8.9105 eV/atom
Formation energy   -0.10 eV per atom

abc: 2.707 2.707 5.710
angles: 90.00 90.00 90.00
Fractional coordinates of all 4 atoms:
Re 0.500 0.500 0.000
Be 0.500 0.500 0.500
Fe 0.000 0.000 0.716
Fe 0.000 0.000 0.284